16
Lattice="5.178 0.000 0.000 0.000 5.178 0.000 0.000 0.000 8.877" Properties=species:S:1:pos:R:3 comment="FeAs2C GGA-PBE optimized geometry" e_tot_ev_per_cell=-98.018 volume_a3_per_atom=14.88 space_group="I-42d, No. 122" ef_ev_per_atom=0.620 pbc="T T T"
Fe 0.000 0.000 0.000
Fe 0.000 2.589 2.219
Fe 2.589 0.000 6.657
Fe 2.589 2.589 4.438
As 1.090 1.295 5.548
As 1.295 3.679 7.767
As 1.295 4.088 3.329
As 1.499 1.295 1.110
As 3.679 3.884 1.110
As 3.884 1.090 3.329
As 3.884 1.499 7.767
As 4.088 3.884 5.548
C 0.000 0.000 4.438
C 0.000 2.589 6.657
C 2.589 0.000 2.219
C 2.589 2.589 0.000